*A*
# PBE-GGA Li3BrCl2, optimized geometry
data_Li3BrCl2
_chemical_formula_sum 'Li6 Br2 Cl4'
_cell_length_a 6.479
_cell_length_b 6.479
_cell_length_c 6.444
_cell_angle_alpha 99.58
_cell_angle_beta 99.58
_cell_angle_gamma 119.99
_symmetry_space_group_name_H-M 'P 1'
_symmetry_Int_Tables_number 1
loop_
_symmetry_equiv_pos_as_xyz
'x,y,z'
loop_
_atom_site_label
_atom_site_type_symbol
_atom_site_fract_x
_atom_site_fract_y
_atom_site_fract_z
Li1 Li 0.000 0.500 0.500
Li2 Li 0.144 0.322 0.001
Li3 Li 0.322 0.144 0.501
Li4 Li 0.500 0.000 0.000
Li5 Li 0.678 0.856 0.499
Li6 Li 0.856 0.678 0.999
Br1 Br 0.417 0.583 0.750
Br2 Br 0.583 0.417 0.250
Cl1 Cl 0.084 0.916 0.750
Cl2 Cl 0.248 0.752 0.250
Cl3 Cl 0.752 0.248 0.750
Cl4 Cl 0.916 0.084 0.250
# Volume = 221 Å³/cell
# DOS at the Fermi energy = 0.0 states/eV/f.u.

---

*B*
# PBE-GGA Li3BrCl2, optimized geometry
data_Li3BrCl2
_chemical_formula_sum 'Li12 Br4 Cl8'
_cell_length_a 13.289
_cell_length_b 6.912
_cell_length_c 12.684
_cell_angle_alpha 79.47
_cell_angle_beta 30.75
_cell_angle_gamma 69.78
_symmetry_space_group_name_H-M 'P 1'
_symmetry_Int_Tables_number 1
loop_
_symmetry_equiv_pos_as_xyz
'x,y,z'
loop_
_atom_site_label
_atom_site_type_symbol
_atom_site_fract_x
_atom_site_fract_y
_atom_site_fract_z
Li1 Li 0.005 0.495 0.005
Li2 Li 0.060 0.918 0.105
Li3 Li 0.145 0.333 0.190
Li4 Li 0.245 0.755 0.245
Li5 Li 0.333 0.145 0.332
Li6 Li 0.403 0.585 0.437
Li7 Li 0.495 0.005 0.495
Li8 Li 0.585 0.403 0.575
Li9 Li 0.675 0.813 0.665
Li10 Li 0.755 0.245 0.755
Li11 Li 0.813 0.675 0.847
Li12 Li 0.918 0.060 0.917
Br1 Br 0.206 0.536 0.458
Br2 Br 0.450 0.792 0.714
Br3 Br 0.536 0.206 0.800
Br4 Br 0.792 0.450 0.044
Cl1 Cl 0.035 0.704 0.296
Cl2 Cl 0.119 0.119 0.381
Cl3 Cl 0.286 0.954 0.546
Cl4 Cl 0.370 0.370 0.630
Cl5 Cl 0.620 0.620 0.880
Cl6 Cl 0.704 0.035 0.964
Cl7 Cl 0.869 0.869 0.131
Cl8 Cl 0.954 0.286 0.215
# Volume = 543 Å³/cell
# DOS at the Fermi energy = 0.0 states/eV/f.u.

---

Unit: meV per atom. Relative energies: *A* 23; *B* 0.

---

*A*
# PBE-GGA Li3BrCl, optimized geometry
data_Li3BrCl
_chemical_formula_sum 'Li3 Br1 Cl1'
_cell_length_a 4.807
_cell_length_b 4.807
_cell_length_c 4.807
_cell_angle_alpha 90.00
_cell_angle_beta 90.00
_cell_angle_gamma 90.00
_symmetry_space_group_name_H-M 'P 1'
_symmetry_Int_Tables_number 1
loop_
_symmetry_equiv_pos_as_xyz
'x,y,z'
loop_
_atom_site_label
_atom_site_type_symbol
_atom_site_fract_x
_atom_site_fract_y
_atom_site_fract_z
Li1 Li 0.000 0.000 0.500
Li2 Li 0.000 0.500 0.000
Li3 Li 0.500 0.000 0.000
Br1 Br 0.500 0.500 0.500
Cl1 Cl 0.000 0.000 0.000
# Volume = 111 Å³/cell
# DOS at the Fermi energy = 2.8 states/eV/f.u.

---

*B*
# PBE-GGA Li3BrCl, optimized geometry
data_Li3BrCl
_chemical_formula_sum 'Li3 Br1 Cl1'
_cell_length_a 4.962
_cell_length_b 4.962
_cell_length_c 4.962
_cell_angle_alpha 90.00
_cell_angle_beta 90.00
_cell_angle_gamma 90.00
_symmetry_space_group_name_H-M 'P 1'
_symmetry_Int_Tables_number 1
loop_
_symmetry_equiv_pos_as_xyz
'x,y,z'
loop_
_atom_site_label
_atom_site_type_symbol
_atom_site_fract_x
_atom_site_fract_y
_atom_site_fract_z
Li1 Li 0.000 0.000 0.500
Li2 Li 0.000 0.500 0.000
Li3 Li 0.500 0.000 0.000
Br1 Br 0.000 0.000 0.000
Cl1 Cl 0.500 0.500 0.500
# Volume = 122 Å³/cell
# DOS at the Fermi energy = 2.6 states/eV/f.u.

---

Unit: meV per atom. Relative energies: *A* 0; *B* 141.

---

*A*
# PBE-GGA LiS2BrCl, optimized geometry
data_LiS2BrCl
_chemical_formula_sum 'Li1 S2 Br1 Cl1'
_cell_length_a 4.738
_cell_length_b 4.738
_cell_length_c 6.836
_cell_angle_alpha 90.00
_cell_angle_beta 90.00
_cell_angle_gamma 90.00
_symmetry_space_group_name_H-M 'P 1'
_symmetry_Int_Tables_number 1
loop_
_symmetry_equiv_pos_as_xyz
'x,y,z'
loop_
_atom_site_label
_atom_site_type_symbol
_atom_site_fract_x
_atom_site_fract_y
_atom_site_fract_z
Li1 Li 0.000 0.000 0.000
S1 S 0.000 0.500 0.500
S2 S 0.500 0.000 0.500
Br1 Br 0.500 0.500 0.500
Cl1 Cl 0.500 0.500 0.000
# Volume = 153 Å³/cell
# DOS at the Fermi energy = 6.3 states/eV/f.u.

---

*B*
# PBE-GGA LiS2BrCl, optimized geometry
data_LiS2BrCl
_chemical_formula_sum 'Li1 S2 Br1 Cl1'
_cell_length_a 4.742
_cell_length_b 4.742
_cell_length_c 4.423
_cell_angle_alpha 90.00
_cell_angle_beta 90.00
_cell_angle_gamma 90.00
_symmetry_space_group_name_H-M 'P 1'
_symmetry_Int_Tables_number 1
loop_
_symmetry_equiv_pos_as_xyz
'x,y,z'
loop_
_atom_site_label
_atom_site_type_symbol
_atom_site_fract_x
_atom_site_fract_y
_atom_site_fract_z
Li1 Li 0.000 0.000 0.000
S1 S 0.000 0.500 0.000
S2 S 0.500 0.000 0.000
Br1 Br 0.500 0.500 0.500
Cl1 Cl 0.000 0.000 0.500
# Volume = 99 Å³/cell
# DOS at the Fermi energy = 5.0 states/eV/f.u.

---

Unit: meV per atom. Relative energies: *A* 0; *B* 110.

---

*A*
# PBE-GGA LiSe2BrCl, optimized geometry
data_LiSe2BrCl
_chemical_formula_sum 'Li1 Se2 Br1 Cl1'
_cell_length_a 4.857
_cell_length_b 4.857
_cell_length_c 4.744
_cell_angle_alpha 90.00
_cell_angle_beta 90.00
_cell_angle_gamma 90.00
_symmetry_space_group_name_H-M 'P 1'
_symmetry_Int_Tables_number 1
loop_
_symmetry_equiv_pos_as_xyz
'x,y,z'
loop_
_atom_site_label
_atom_site_type_symbol
_atom_site_fract_x
_atom_site_fract_y
_atom_site_fract_z
Li1 Li 0.000 0.000 0.000
Se1 Se 0.000 0.500 0.000
Se2 Se 0.500 0.000 0.000
Br1 Br 0.000 0.000 0.500
Cl1 Cl 0.500 0.500 0.500
# Volume = 112 Å³/cell
# DOS at the Fermi energy = 4.3 states/eV/f.u.

---

*B*
# PBE-GGA LiSe2BrCl, optimized geometry
data_LiSe2BrCl
_chemical_formula_sum 'Li1 Se2 Br1 Cl1'
_cell_length_a 4.817
_cell_length_b 4.817
_cell_length_c 7.610
_cell_angle_alpha 90.00
_cell_angle_beta 90.00
_cell_angle_gamma 90.00
_symmetry_space_group_name_H-M 'P 1'
_symmetry_Int_Tables_number 1
loop_
_symmetry_equiv_pos_as_xyz
'x,y,z'
loop_
_atom_site_label
_atom_site_type_symbol
_atom_site_fract_x
_atom_site_fract_y
_atom_site_fract_z
Li1 Li 0.000 0.000 0.000
Se1 Se 0.000 0.500 0.500
Se2 Se 0.500 0.000 0.500
Br1 Br 0.500 0.500 0.000
Cl1 Cl 0.500 0.500 0.500
# Volume = 177 Å³/cell
# DOS at the Fermi energy = 3.7 states/eV/f.u.

---

Unit: meV per atom. Relative energies: *A* 44; *B* 0.

---

*A*
# PBE-GGA Mg2BrCl, optimized geometry
data_Mg2BrCl
_chemical_formula_sum 'Mg2 Br1 Cl1'
_cell_length_a 3.690
_cell_length_b 3.690
_cell_length_c 7.014
_cell_angle_alpha 90.00
_cell_angle_beta 90.00
_cell_angle_gamma 90.00
_symmetry_space_group_name_H-M 'P 1'
_symmetry_Int_Tables_number 1
loop_
_symmetry_equiv_pos_as_xyz
'x,y,z'
loop_
_atom_site_label
_atom_site_type_symbol
_atom_site_fract_x
_atom_site_fract_y
_atom_site_fract_z
Mg1 Mg 0.000 0.000 0.229
Mg2 Mg 0.000 0.000 0.771
Br1 Br 0.500 0.500 0.500
Cl1 Cl 0.500 0.500 0.000
# Volume = 95 Å³/cell
# DOS at the Fermi energy = 2.6 states/eV/f.u.

---

*B*
# PBE-GGA Mg2BrCl, optimized geometry
data_Mg2BrCl
_chemical_formula_sum 'Mg2 Br1 Cl1'
_cell_length_a 5.656
_cell_length_b 5.656
_cell_length_c 5.656
_cell_angle_alpha 142.79
_cell_angle_beta 110.26
_cell_angle_gamma 81.80
_symmetry_space_group_name_H-M 'P 1'
_symmetry_Int_Tables_number 1
loop_
_symmetry_equiv_pos_as_xyz
'x,y,z'
loop_
_atom_site_label
_atom_site_type_symbol
_atom_site_fract_x
_atom_site_fract_y
_atom_site_fract_z
Mg1 Mg 0.236 0.236 0.000
Mg2 Mg 0.764 0.764 0.000
Br1 Br 0.500 0.000 0.500
Cl1 Cl 0.000 0.500 0.500
# Volume = 100 Å³/cell
# DOS at the Fermi energy = 2.8 states/eV/f.u.

---

Unit: meV per atom. Relative energies: *A* 120; *B* 0.

---

*A*
# PBE-GGA Mg2BrCl, optimized geometry
data_Mg2BrCl
_chemical_formula_sum 'Mg2 Br1 Cl1'
_cell_length_a 3.610
_cell_length_b 3.433
_cell_length_c 9.108
_cell_angle_alpha 90.00
_cell_angle_beta 100.47
_cell_angle_gamma 90.00
_symmetry_space_group_name_H-M 'P 1'
_symmetry_Int_Tables_number 1
loop_
_symmetry_equiv_pos_as_xyz
'x,y,z'
loop_
_atom_site_label
_atom_site_type_symbol
_atom_site_fract_x
_atom_site_fract_y
_atom_site_fract_z
Mg1 Mg 0.000 0.000 0.000
Mg2 Mg 0.077 0.500 0.717
Br1 Br 0.451 0.000 0.561
Cl1 Cl 0.743 0.500 0.149
# Volume = 111 Å³/cell
# DOS at the Fermi energy = 0.8 states/eV/f.u.

---

*B*
# PBE-GGA Mg2BrCl, optimized geometry
data_Mg2BrCl
_chemical_formula_sum 'Mg2 Br1 Cl1'
_cell_length_a 7.300
_cell_length_b 7.300
_cell_length_c 7.300
_cell_angle_alpha 148.02
_cell_angle_beta 148.02
_cell_angle_gamma 45.86
_symmetry_space_group_name_H-M 'P 1'
_symmetry_Int_Tables_number 1
loop_
_symmetry_equiv_pos_as_xyz
'x,y,z'
loop_
_atom_site_label
_atom_site_type_symbol
_atom_site_fract_x
_atom_site_fract_y
_atom_site_fract_z
Mg1 Mg 0.000 0.000 0.000
Mg2 Mg 0.750 0.250 0.500
Br1 Br 0.250 0.750 0.500
Cl1 Cl 0.500 0.500 0.000
# Volume = 109 Å³/cell
# DOS at the Fermi energy = 3.0 states/eV/f.u.

---

*C*
# PBE-GGA Mg2BrCl, optimized geometry
data_Mg2BrCl
_chemical_formula_sum 'Mg2 Br1 Cl1'
_cell_length_a 3.613
_cell_length_b 3.613
_cell_length_c 9.767
_cell_angle_alpha 90.00
_cell_angle_beta 90.00
_cell_angle_gamma 116.47
_symmetry_space_group_name_H-M 'P 1'
_symmetry_Int_Tables_number 1
loop_
_symmetry_equiv_pos_as_xyz
'x,y,z'
loop_
_atom_site_label
_atom_site_type_symbol
_atom_site_fract_x
_atom_site_fract_y
_atom_site_fract_z
Mg1 Mg 0.000 0.000 0.000
Mg2 Mg 0.500 0.500 0.262
Br1 Br 0.000 0.000 0.436
Cl1 Cl 0.500 0.500 0.846
# Volume = 114 Å³/cell
# DOS at the Fermi energy = 1.0 states/eV/f.u.

---

Unit: meV per atom. Relative energies: *A* 6; *B* 375; *C* 0.